No. 1
LaBeSb2 | meta-GGA SCAN | PBEsol geometry

The structure in POSCAR format:
```
LaBeSb2
1.0
3.826 0.000 0.000
0.000 3.826 0.000
0.000 0.000 6.456
La Be Sb
1 1 2
Cartesian
0.000 0.000 0.000 La
0.000 0.000 3.228 Be
1.913 1.913 1.843 Sb
1.913 1.913 4.613 Sb
```

**Crystal system**: tetragonal
**Formation energy (no corrections)**: -0.18 eV/atom
**Symmetry**: No. 123

No. 2
LaBeSb2 | meta-GGA SCAN | PBEsol geometry

The structure in POSCAR format:
```
LaBeSb2
1.0
0.000 3.670 3.670
3.670 0.000 3.670
3.670 3.670 0.000
La Be Sb
1 1 2
Cartesian
0.000 0.000 0.000 La
1.835 1.835 1.835 Be
3.670 3.670 3.670 Sb
5.506 5.506 5.506 Sb
```

**Crystal system**: cubic
**Formation energy (no corrections)**: 0.02 eV/atom
**Symmetry**: No. 216

No. 3
LaScBe2 | meta-GGA SCAN | PBEsol geometry

The structure in POSCAR format:
```
LaScBe2
1.0
0.000 3.292 3.292
3.292 0.000 3.292
3.292 3.292 0.000
La Sc Be
1 1 2
Cartesian
0.000 0.000 0.000 La
4.937 4.937 4.937 Sc
1.646 1.646 1.646 Be
3.292 3.292 3.292 Be
```

**Crystal system**: cubic
**Symmetry**: No. 216
**Formation energy from the elements**: 0.49 eV per atom

No. 4
LaScBe2 | meta-GGA SCAN | PBEsol geometry

The structure in POSCAR format:
```
LaScBe2
1.0
-2.026 2.026 4.536
2.026 -2.026 4.536
2.026 2.026 -4.536
La Sc Be
1 1 2
Cartesian
0.000 0.000 0.000 La
0.000 2.026 2.268 Sc
2.026 0.000 2.268 Be
0.000 0.000 4.536 Be
```

**Crystal system**: tetragonal
**Symmetry**: No. 119
**Formation energy from the elements**: 0.46 eV per atom

DOS at the Fermi energy (states/eV/atom)
0.52, 0.70, 0.72, 0.58